Below is a relaxed KHgSN2 crystal, with properties calculated at the PBE level.

The structure in POSCAR format:
```
KHgSN2
1.0
5.057 0.000 0.000
0.000 5.057 0.000
0.000 0.000 6.147
N Hg S K
2 1 1 1
direct
0.500 0.000 0.000 N
0.000 0.500 0.000 N
0.500 0.500 0.500 Hg
0.000 0.000 0.500 S
0.000 0.000 0.000 K
```

Values from the calculation:
Formation energy from raw total energies = 2050 meV/atom
Calculated total energy = -2.385 eV/atom
Offset from the most stable computed form = 0.6737 eV/atom
ρ = 3.2 Mg/m³
Space-group type = No. 123